(1)
A relaxed structure of PuCdCl5, computed with GGA-PBE.

The value obtained for the density of states at the Fermi level is 40.0 states/eV/cell. Its raw total energy is -140.24 eV for the cell shown. The value obtained for the uncorrected formation energy is -1511 meV/atom. The crystal system is monoclinic.

It has space group C2/c (No. 15), with a = 10.769 Å, b = 10.140 Å, c = 10.406 Å, α = 90.00°, β = 119.77° and γ = 90.00°. The inequivalent atoms are Pu at (0.250, 0.250, 0.000), Cd at (0.000, 0.136, 0.250), Cl at (0.000, 0.305, 0.750), Cl at (0.124, 0.297, 0.165) and Cl at (0.175, 0.011, 0.474).

(2)
A relaxed structure of PuCdCl4, computed with GGA-PBE.

The value obtained for the density of states at the Fermi level is 25.4 states/eV/cell. Its raw total energy is -61.87 eV for the cell shown. The value obtained for the uncorrected formation energy is -1384 meV/atom. The crystal system is monoclinic.

It has space group C2/m (No. 12), with a = 13.042 Å, b = 4.139 Å, c = 9.047 Å, α = 90.00°, β = 126.59° and γ = 90.00°. The inequivalent atoms are Pu at (0.000, 0.000, 0.000), Cd at (0.000, 0.500, 0.500), Cl at (0.044, 0.000, 0.342) and Cl at (0.171, 0.500, 0.113).

(3)
A relaxed structure of PuCdCl6, computed with GGA-PBE.

The excess energy over the best structure of this formula in the dataset comes out at 2.1 kJ/mol of formula units. The value obtained for the density of states at the Fermi level is 21.3 states/eV/cell. Its raw total energy is -112.77 eV for the cell shown. The value obtained for the uncorrected formation energy is -1408 meV/atom. The crystal system is trigonal.

It has space group R-3 (No. 148, hexagonal axes), with a = 6.6132 Å, b = 6.6132 Å, c = 18.2002 Å, α = 90.00°, β = 90.00° and γ = 120.00°. The inequivalent atoms are Pu at (0.0000, 0.0000, 0.0000), Cd at (0.0000, 0.0000, 0.5000) and Cl at (0.0066, 0.3500, 0.7497).

(4)
A relaxed structure of PuCd2Cl8, computed with GGA-PBE.

The value obtained for the density of states at the Fermi level is 7.9 states/eV/cell. Its raw total energy is -90.46 eV for the cell shown. The value obtained for the uncorrected formation energy is -1299 meV/atom. The crystal system is monoclinic.

It has space group C2/m (No. 12), with a = 10.982 Å, b = 10.852 Å, c = 7.238 Å, α = 90.00°, β = 110.52° and γ = 90.00°. The inequivalent atoms are Pu at (0.000, 0.000, 0.000), Cd at (0.168, 0.500, 0.631), Cl at (0.032, 0.500, 0.272), Cl at (0.125, 0.000, 0.771) and Cl at (0.167, 0.168, 0.225).